! PaFe2O6, relaxed, DFT GGA+U; values from VASP
&SYSTEM
  ibrav = 0, nat = 9, ntyp = 3
/
ATOMIC_SPECIES
Fe 55.84 Fe.upf
O 16.00 O.upf
Pa 231.04 Pa.upf
CELL_PARAMETERS angstrom
3.905 0.000 -1.122
-0.329 3.885 -1.144
-0.161 -0.120 6.795
ATOMIC_POSITIONS angstrom
Fe 0.813 0.911 2.831
Fe 2.601 2.853 1.698
O 2.096 2.291 -0.062
O 3.107 3.416 3.458
O 1.319 1.473 4.591
O 0.609 2.809 2.121
O 2.805 0.955 2.408
O 0.308 0.349 1.071
Pa -0.164 1.942 -0.572
! Density of states at the Fermi level (states/eV/atom): 0.23
! Electronic total energy (eV for the cell shown): -68.7